A plane-wave DFT calculation with PBE-GGA was carried out for NaMnCoSe3 after structural relaxation.

V in Å³/f.u.: 123
E_form (uncorrected) in eV/atom: -0.545

Cell: 7.8328 3.6616 9.1466 Å, 90.00 110.42 90.00°
Closest atoms and distances in Å follow each position.
Space group P2_1/m (No. 11)
Asymmetric unit:
1 Na 0.2398 0.2500 0.2674 x2  6 Se 3.00-3.13
2 Mn 0.3078 0.7500 0.8332 x2  6 Se 2.50-2.59
3 Co 0.0801 0.2500 0.6033 x2  4 Se 2.31-2.40
4 Se 0.0990 0.2500 0.8612 x2  1 Co 2.31, 2 Mn 2.53
5 Se 0.2400 0.7500 0.5451 x2  3 Co 2.38-2.40, 1 Mn 2.50
6 Se 0.4518 0.7500 0.1346 x2  3 Mn 2.57-2.59